## Ac2TmZn3In4 (PBE)

Data for a relaxed Ac2TmZn3In4 crystal.

Summary:
Calculated volume: 26.46 Å³ per atom
DFT formation energy: -0.341 eV per atom
Space-group type: P-4m2
Final energy: -3.0875 eV/atom

a b c (Å): 4.650 4.650 12.239
angles (deg): 90.00 90.00 90.00
Fractional coordinates of all 10 atoms:
Ac  0.500  0.000  0.234
Ac  0.000  0.500  0.766
Tm  0.500  0.500  0.500
Zn  0.000  0.000  0.500
Zn  0.500  0.000  0.870
Zn  0.000  0.500  0.130
In  0.500  0.500  0.000
In  0.000  0.000  0.000
In  0.500  0.000  0.652
In  0.000  0.500  0.348